# 1
Material: Tl2GaFeO4
Method: DFT, PBE+U
State: optimized geometry

Lattice parameters (Å, degrees): 5.569 6.685 10.551 83.69 74.70 65.38
Atoms (fractional coordinates):
Ga (0.000, 0.000, 0.000)
Fe (0.500, 0.000, 0.000)
O (0.592, 0.291, 0.518)
Tl (0.824, 0.000, 0.352)
Tl (0.574, 0.500, 0.852)
O (0.889, 0.709, 0.518)
Fe (0.250, 0.500, 0.500)
O (0.348, 0.791, 0.018)
O (0.117, 0.291, 0.482)
O (0.402, 0.709, 0.482)
O (0.861, 0.791, 0.982)
Tl (0.176, 0.000, 0.648)
Ga (0.750, 0.500, 0.500)
O (0.158, 0.209, 0.982)
O (0.633, 0.209, 0.018)
Tl (0.926, 0.500, 0.148)

Results
M_tot ... 0.3704 μB/atom
Space group ... No. 70
V ... 21.5 Å³ per atom
Electronic total energy ... -5.19 eV per atom
Density ... 5.8 g/cm³


# 2
Material: VGa2FeO6
Method: DFT, PBE+U
State: optimized geometry

Lattice parameters (Å, degrees): 5.239 6.652 6.652 86.86 83.39 83.39
Atoms (fractional coordinates):
O (0.140, 0.983, 0.785)
Fe (0.750, 0.087, 0.913)
O (0.631, 0.450, 0.280)
V (0.250, 0.264, 0.736)
O (0.360, 0.215, 0.017)
Ga (0.697, 0.597, 0.781)
V (0.750, 0.736, 0.264)
O (0.860, 0.017, 0.215)
Ga (0.197, 0.781, 0.597)
O (0.914, 0.365, 0.837)
Fe (0.250, 0.913, 0.087)
O (0.086, 0.635, 0.163)
O (0.369, 0.550, 0.720)
O (0.586, 0.163, 0.635)
O (0.414, 0.837, 0.365)
O (0.131, 0.280, 0.450)
O (0.640, 0.785, 0.983)
O (0.869, 0.720, 0.550)
Ga (0.303, 0.403, 0.219)
Ga (0.803, 0.219, 0.403)

Results
M_tot ... 0.5000 μB/atom
Space group ... No. 15
V ... 11.4 Å³ per atom
Electronic total energy ... -6.70 eV per atom
Density ... 5.0 g/cm³